[1]
Below is a relaxed structure of Tc2MoPb, with properties calculated at the PBE-GGA level.

Unit cell a=3.0546 b=3.0546 c=26.7075 alpha=90.00 beta=90.00 gamma=120.00
Space group R-3m (No. 166, hexagonal axes)
Inequivalent atoms, fractional coordinates:
Tc 0.0000 0.0000 0.2387 x6
Mo 0.0000 0.0000 0.5000 x3
Pb 0.0000 0.0000 0.0000 x3

E_form = 11.86 kcal/mol of atoms
crystal system = trigonal

---

[2]
Below is a relaxed structure of Pm3Co5H12, with properties calculated at the PBE-GGA level.

Unit cell a=11.3634 b=11.3634 c=11.3634 alpha=90.00 beta=90.00 gamma=90.00
Space group Ia-3d (No. 230)
Inequivalent atoms, fractional coordinates:
Pm 0.0000 0.2500 0.1250 x24
Co 0.0000 0.0000 0.0000 x16
Co 0.0000 0.2500 0.3750 x24
H 0.0398 0.0447 0.6377 x96

calculated total energy = -750.035 eV per cell
crystal system = cubic

---

[3]
Below is a relaxed structure of Gd2H4Ru, with properties calculated at the PBE-GGA level.

Unit cell a=3.7029 b=3.7029 c=12.1340 alpha=90.00 beta=90.00 gamma=90.00
Space group I4/mmm (No. 139)
Inequivalent atoms, fractional coordinates:
Gd 0.0000 0.0000 0.1446 x4
H 0.0000 0.0000 0.3523 x4
H 0.0000 0.5000 0.0000 x4
Ru 0.0000 0.0000 0.5000 x2

calculated total energy = -107.631 eV per cell
crystal system = tetragonal

---

[4]
Below is a relaxed structure of Pm2Pd3Pb, with properties calculated at the PBE-GGA level.

Unit cell a=4.7117 b=4.7117 c=14.3203 alpha=90.00 beta=90.00 gamma=120.00
Space group P6_3/mmc (No. 194)
Inequivalent atoms, fractional coordinates:
Pm 0.0000 0.0000 0.1184 x4
Pd 0.3333 0.6667 0.0105 x4
Pd 0.3333 0.6667 0.7500 x2
Pb 0.3333 0.6667 0.2500 x2

E_form = -14.95 kcal/mol of atoms
crystal system = hexagonal